Material: K5Tl6Sn
Method: DFT, PBE-GGA
State: relaxed

Computed properties:
SG ... C2/m, No. 12
Fermi-level density of states ... 6.7 states/eV/cell
Calculated volume ... 460 Å³ per cell
DFT formation energy ... -0.065 eV per atom

a = 8.4529 Å, b = 8.4529 Å, c = 10.2945 Å
α = 90.10°, β = 90.10°, γ = 141.27°
With the nearest neighbours (Å) after each atom.
Fractional positions:
K 0.0000 0.0000 0.0000  8 Tl 3.44-3.76
K 0.3270 0.6730 0.0000  6 Tl 3.71-4.04, 4 K 3.73-3.93
K 0.3371 0.6629 0.5000  8 Tl 3.70-4.12, 2 Sn 3.82, 2 K 3.95
K 0.6629 0.3371 0.5000  8 Tl 3.70-4.12, 2 Sn 3.82, 2 K 3.95
K 0.6730 0.3270 0.0000  6 Tl 3.71-4.04, 4 K 3.73-3.93
Tl 0.1245 0.8737 0.2714  1 Sn 3.09, 1 K 3.44, 1 Tl 3.45
Tl 0.1263 0.8755 0.7286  1 Sn 3.09, 1 K 3.44, 1 Tl 3.45
Tl 0.4997 0.4997 0.2416  4 Tl 3.45-3.46, 6 K 3.71-3.76, 1 Sn 3.86
Tl 0.5003 0.5003 0.7584  4 Tl 3.45-3.46, 6 K 3.71-3.76, 1 Sn 3.86
Tl 0.8737 0.1245 0.2714  1 Sn 3.09, 1 K 3.44, 1 Tl 3.45
Tl 0.8755 0.1263 0.7286  1 Sn 3.09, 1 K 3.44, 1 Tl 3.45
Sn 0.0000 0.0000 0.5000  4 Tl 3.09